Here is a relaxed AlCd2Sb2 crystal from Alexandria. Energies are from PBE-GGA.

a = 7.851 Å, b = 7.851 Å, c = 4.321 Å
α = 90.00°, β = 90.00°, γ = 90.00°
Space group P4/mbm (No. 127)
Inequivalent atoms, fractional coordinates:
1 Al 0.000 0.000 0.000 (multiplicity 2)
2 Cd 0.131 0.369 0.500 (multiplicity 4)
3 Sb 0.186 0.686 0.000 (multiplicity 4)

Output
Magnetization ... 0.00 μB per formula unit
Total DFT energy (no corrections) ... -25.59 eV per cell
Calculated volume ... 26.63 A^3/atom
Energy above the lowest structure with this stoichiometry ... 0 meV/atom
D(E_F) ... 2.93 states/eV/f.u.

***

Here is a relaxed AlCdSb crystal from Alexandria. Energies are from PBE-GGA.

a = 7.560 Å, b = 3.201 Å, c = 6.130 Å
α = 90.00°, β = 101.55°, γ = 90.00°
Space group Cm (No. 8)
Inequivalent atoms, fractional coordinates:
1 Al 0.000 0.000 0.000 (multiplicity 2)
2 Cd 0.160 0.500 0.678 (multiplicity 2)
3 Sb 0.330 0.000 0.294 (multiplicity 2)

Output
Magnetization ... 0.00 μB per formula unit
Total DFT energy (no corrections) ... -16.92 eV per cell
Calculated volume ... 24.22 A^3/atom
Energy above the lowest structure with this stoichiometry ... 42 meV/atom
D(E_F) ... 1.11 states/eV/f.u.